Record 1
! MgTlMo2 PBE-GGA relaxed; values from VASP
! Density of states at the Fermi level = 0.451 states/eV per atom
! Symmetry = Pm (6)
! ΔE_f = 0.4045 eV per atom
! V = 18.7 A^3/atom
! ΔE to the lowest computed polymorph = 0.483 eV/f.u.
&SYSTEM
  ibrav = 0, nat = 4, ntyp = 3
/
ATOMIC_SPECIES
Mg 24.30 Mg.upf
Tl 204.38 Tl.upf
Mo 95.94 Mo.upf
CELL_PARAMETERS angstrom
2.962 0.000 0.000
0.000 4.240 0.000
-0.999 0.000 5.951
ATOMIC_POSITIONS crystal
Mg 0.000 0.000 0.000
Tl 0.446 0.500 0.737
Mo 0.509 0.500 0.251
Mo 0.844 0.000 0.447

***

Record 2
! MgTlMo2 PBE-GGA relaxed; values from VASP
! Density of states at the Fermi level = 0.685 states/eV per atom
! Symmetry = C2/m (12)
! ΔE_f = 0.4910 eV per atom
! V = 18.0 A^3/atom
! ΔE to the lowest computed polymorph = 0.829 eV/f.u.
&SYSTEM
  ibrav = 0, nat = 4, ntyp = 3
/
ATOMIC_SPECIES
Mg 24.30 Mg.upf
Tl 204.38 Tl.upf
Mo 95.94 Mo.upf
CELL_PARAMETERS angstrom
5.151 -1.718 0.000
5.151 1.718 0.000
-1.767 0.000 4.059
ATOMIC_POSITIONS crystal
Mg 0.000 0.000 0.000
Tl 0.500 0.500 0.500
Mo 0.251 0.251 0.769
Mo 0.749 0.749 0.231